#a
Computed, not measured: an optimized crystal structure of In2Pd5Au at the PBE-GGA level of DFT.

Output
**Space-group type**: No. 139
**D(E_F)**: 0.521 states/eV/atom

The structure in extended XYZ format:
```
8
Lattice="-4.1880 -4.0168 0.7026 4.0733 -4.0738 0.9895 -0.0708 4.8525 3.0052" Properties=species:S:1:pos:R:3 pbc="T T T"
Pd -2.1866 0.7764 3.5648
Pd 1.9445 0.7479 3.7082
Au -0.0570 0.3587 1.7114
Pd -0.1497 -1.2607 4.0596
Pd -0.0923 2.7851 3.2133
In -2.1508 -1.6498 2.0622
In 1.9797 -1.6783 2.2056
Pd -0.1142 -3.6867 2.5566
```

=====

#b
Computed, not measured: an optimized crystal structure of In2Pd5Au at the PBE-GGA level of DFT.

Output
**Space-group type**: No. 55
**D(E_F)**: 0.406 states/eV/atom

The structure in extended XYZ format:
```
16
Lattice="4.1541 0.0000 0.0000 0.0000 5.6931 0.0000 0.0000 0.0000 11.3710" Properties=species:S:1:pos:R:3 pbc="T T T"
Pd 0.0000 2.9945 2.8281
Au 0.0000 2.8466 0.0000
In 2.0770 1.2788 9.8784
Au 0.0000 0.0000 5.6855
Pd 2.0770 4.3648 4.3000
Pd 0.0000 0.1480 2.8574
In 2.0770 4.4143 1.4926
Pd 2.0770 1.5183 1.3855
Pd 0.0000 0.0000 0.0000
In 2.0770 1.5677 4.1929
Pd 0.0000 2.6986 8.5429
Pd 2.0770 1.3283 7.0711
Pd 0.0000 5.5452 8.5136
In 2.0770 4.1254 7.1781
Pd 0.0000 2.8466 5.6855
Pd 2.0770 4.1749 9.9855
```

=====

Most stable: #b (next structure +12 meV/atom)

=====

#a
Computed, not measured: an optimized crystal structure of In2Pd3Au2 at the PBE-GGA level of DFT.

Output
**Space-group type**: No. 12
**D(E_F)**: 0.394 states/eV/atom

The structure in extended XYZ format:
```
7
Lattice="4.1193 0.0000 0.0000 -2.0597 4.5552 0.3414 0.0000 -1.6677 6.4757" Properties=species:S:1:pos:R:3 pbc="T T T"
Au 2.0597 3.3391 2.1024
Pd 2.0597 0.0000 0.0000
Au 0.0000 -0.4517 4.7147
In 2.0597 1.3161 5.5544
Pd 0.0000 2.3683 3.9522
In 0.0000 1.5713 1.2627
Pd 2.0597 0.5191 2.8649
```

=====

#b
Computed, not measured: an optimized crystal structure of In2Pd3Au2 at the PBE-GGA level of DFT.

Output
**Space-group type**: No. 12
**D(E_F)**: 0.324 states/eV/atom

The structure in extended XYZ format:
```
7
Lattice="4.4354 -0.0006 -1.2375 -2.3912 3.9344 -0.0046 -0.3386 -0.2112 7.3449" Properties=species:S:1:pos:R:3 pbc="T T T"
Au 0.9597 3.2677 3.4309
Pd 0.0000 0.0000 0.0000
In 2.5796 1.5667 0.6769
In -0.8741 2.1559 5.4258
Pd 0.2011 2.8169 0.7197
Au 0.7458 0.4549 2.6718
Pd 1.5044 0.9057 5.3830
```

=====

Most stable: #b (next structure +9 meV/atom)

=====

#a
Computed, not measured: an optimized crystal structure of InPd5Au2 at the PBE-GGA level of DFT.

Output
**Space-group type**: No. 139
**D(E_F)**: 1.120 states/eV/atom

The structure in extended XYZ format:
```
8
Lattice="-1.1508 -1.3322 -3.6968 -2.4551 -2.7639 1.7603 -4.1085 7.2720 0.9259" Properties=species:S:1:pos:R:3 pbc="T T T"
Pd -5.6865 2.5584 0.8482
In 0.0000 0.0000 0.0000
Pd -1.8029 -2.0481 -0.9683
Au -4.7588 0.5640 -0.9894
Au -2.9556 2.6118 -0.0212
Pd -5.0344 3.2743 -1.8803
Pd -2.0279 0.6174 -1.8588
Pd -2.6800 -0.0984 0.8697
```

=====

#b
Computed, not measured: an optimized crystal structure of InPd5Au2 at the PBE-GGA level of DFT.

Output
**Space-group type**: No. 63
**D(E_F)**: 0.591 states/eV/atom

The structure in extended XYZ format:
```
16
Lattice="-3.9607 2.1753 -1.0945 0.2114 -2.3860 4.3682 4.6694 11.5672 6.0922" Properties=species:S:1:pos:R:3 pbc="T T T"
Au 3.9844 10.3925 6.2366
Pd 1.2455 5.6135 6.6494
Au -1.5003 4.8380 5.1697
Pd -1.9381 1.7479 0.6123
Pd -1.7226 3.3118 2.9406
In -0.4120 1.7327 4.9344
Pd -0.0585 7.4150 5.0739
Pd 0.9787 3.9415 4.2920
Pd 2.8583 9.6087 8.7536
Pd -0.3844 0.5647 2.5135
Pd 1.3046 10.7919 6.8524
Au 2.4205 6.5185 4.1962
In 1.3321 9.6239 4.4315
Au -3.0642 0.9641 3.1293
Pd 2.6428 8.0447 6.4253
Pd -0.3254 5.7431 2.7165
```

=====

Most stable: #a (next structure +124 meV/atom)

=====

#a
Computed, not measured: an optimized crystal structure of InPd2Au8 at the PBE-GGA level of DFT.

Output
**Space-group type**: No. 65
**D(E_F)**: 0.385 states/eV/atom

The structure in extended XYZ format:
```
11
Lattice="4.3834 0.0398 0.0000 -0.0682 8.4080 0.0000 -0.0341 4.2040 5.5949" Properties=species:S:1:pos:R:3 pbc="T T T"
In 2.1917 0.0199 0.0000
Au 2.1674 2.8197 0.0000
Pd -0.0341 4.2040 1.3277
Au 2.1479 5.6280 0.0000
Au -0.0541 6.9684 1.5131
Au 4.3694 1.4793 1.5131
Au 2.1576 4.2239 2.8431
Au 4.3353 5.6833 4.0818
Pd -0.0682 8.4080 4.2672
Au -0.0882 11.1724 4.0818
Au 2.1236 8.4278 2.7517
```

=====

#b
Computed, not measured: an optimized crystal structure of InPd2Au8 at the PBE-GGA level of DFT.

Output
**Space-group type**: No. 12
**D(E_F)**: 0.322 states/eV/atom

The structure in extended XYZ format:
```
11
Lattice="4.0606 0.0000 -1.0814 -0.4419 6.3679 -1.6592 -0.1359 -0.1563 7.6539" Properties=species:S:1:pos:R:3 pbc="T T T"
Pd 2.9037 2.2286 2.7388
Au 3.0384 5.0371 3.2449
Au 0.4443 1.1745 1.6685
In 2.0303 0.0000 -0.5407
Au 3.6233 1.6066 5.4411
Au 1.2939 3.3304 4.8586
Au 2.3211 5.7436 0.5515
Pd 0.5791 3.9831 2.1745
Au 2.1889 2.8812 0.0547
Au 1.1616 0.4680 4.3618
Au -0.1406 4.6050 -0.5278
```

=====

Most stable: #b (next structure +60 meV/atom)

=====

#a
Computed, not measured: an optimized crystal structure of In2Pd3Au at the PBE-GGA level of DFT.

Output
**Space-group type**: No. 141
**D(E_F)**: 0.375 states/eV/atom

The structure in extended XYZ format:
```
24
Lattice="7.6249 0.0000 -4.1950 -2.3080 7.2672 -4.1950 -0.2498 -0.3414 8.5729" Properties=species:S:1:pos:R:3 pbc="T T T"
Pd 7.1433 0.0902 0.0915
Au 3.2358 4.4228 -3.1455
In 0.9949 4.6157 -1.5784
Pd -1.2537 6.1027 2.2347
Pd 2.5587 6.1027 0.1372
In 6.6803 0.6640 -2.5251
Pd 1.5201 2.0777 -2.3987
Pd 6.1551 3.2019 -1.7048
Au 4.4393 0.8569 -0.9581
In 1.9161 0.6639 0.0960
Au 5.5942 2.4353 1.1410
Pd -1.1288 6.2734 -2.0518
Pd 2.8902 3.2019 0.0915
In 5.0142 4.8985 0.0870
Pd 0.0252 2.6398 0.0457
In 0.9690 4.5804 1.7613
In 5.7591 4.6157 -4.1995
In 6.4563 0.3578 2.7081
In 2.4111 0.0397 4.3825
Pd 0.2821 4.8480 4.3779
Pd 3.7968 5.1894 -5.9913
Au 1.8312 2.5029 3.3284
Pd 4.7850 2.0777 -4.1950
Pd 3.8784 0.0902 1.8877
```

=====

#b
Computed, not measured: an optimized crystal structure of In2Pd3Au at the PBE-GGA level of DFT.

Output
**Space-group type**: No. 71
**D(E_F)**: 0.322 states/eV/atom

The structure in extended XYZ format:
```
6
Lattice="2.9075 0.0000 0.0000 0.0000 5.1089 0.0000 -1.4537 -2.5545 7.7682" Properties=species:S:1:pos:R:3 pbc="T T T"
Pd 1.4537 2.5545 4.9995
Pd 0.0000 2.5545 0.0000
In 1.4537 2.5545 2.3395
Pd 0.0000 0.0000 2.7687
In 0.0000 0.0000 5.4287
Au 0.0000 0.0000 0.0000
```

=====

Most stable: #a (next structure +123 meV/atom)

=====

#a
Computed, not measured: an optimized crystal structure of In6Pd5Au at the PBE-GGA level of DFT.

Output
**Space-group type**: No. 12
**D(E_F)**: 0.468 states/eV/atom

The structure in extended XYZ format:
```
12
Lattice="-1.6137 -0.0382 8.7545 -3.3644 -4.2781 0.5201 2.0835 -5.0176 0.9416" Properties=species:S:1:pos:R:3 pbc="T T T"
In -0.7817 -2.0913 6.8801
Pd 0.0601 -4.1068 5.0987
Pd -0.8711 -6.1841 0.9714
In -1.2626 -1.0993 2.3329
Au 0.0000 0.0000 0.0000
In -1.2487 -5.1593 7.3601
Pd -2.9547 -5.2271 5.1175
In -3.7155 -3.2169 6.9417
Pd -2.4891 -2.1581 4.6373
In -1.6460 -4.1746 2.8561
In -2.1129 -7.2426 3.3361
Pd -0.4099 -3.1116 0.4903
```

=====

#b
Computed, not measured: an optimized crystal structure of In6Pd5Au at the PBE-GGA level of DFT.

Output
**Space-group type**: No. 10
**D(E_F)**: 0.319 states/eV/atom

The structure in extended XYZ format:
```
12
Lattice="-3.6462 0.3603 2.9648 1.5911 -5.7956 2.6611 6.1029 3.1352 3.1791" Properties=species:S:1:pos:R:3 pbc="T T T"
Pd 0.7956 -2.8978 1.3306
In 1.3952 0.8908 5.2407
Pd 2.8183 2.1966 3.0988
Pd 1.2295 -4.4966 5.7062
In 2.6526 -3.1909 3.5644
In 1.8720 -0.3475 2.2588
Au 0.0000 0.0000 0.0000
In -1.4223 -1.2795 2.1526
Pd 3.6933 -0.6446 4.5051
In 2.1758 -1.9525 6.5462
In -0.6327 -4.1557 3.4733
Pd 0.3545 -1.6554 4.3000
```

=====

Most stable: #b (next structure +104 meV/atom)

=====

#a
Computed, not measured: an optimized crystal structure of InPdAu4 at the PBE-GGA level of DFT.

Output
**Space-group type**: No. 12
**D(E_F)**: 0.361 states/eV/atom

The structure in extended XYZ format:
```
6
Lattice="4.1765 0.0001 0.0001 -2.0883 4.4545 -1.5405 -0.0001 -0.1246 5.8625" Properties=species:S:1:pos:R:3 pbc="T T T"
Au 2.0882 1.4409 1.4116
Pd 0.0000 0.0000 0.0000
In 0.0000 -0.0623 2.9313
Au 2.0882 1.3648 4.3952
Au -0.0001 2.9651 -0.0731
Au 0.0000 2.8890 2.9105
```

=====

#b
Computed, not measured: an optimized crystal structure of InPdAu4 at the PBE-GGA level of DFT.

Output
**Space-group type**: No. 44
**D(E_F)**: 0.338 states/eV/atom

The structure in extended XYZ format:
```
12
Lattice="-0.4842 -3.1006 7.8782 3.2283 -3.1520 -1.0421 4.0219 3.5727 1.6533" Properties=species:S:1:pos:R:3 pbc="T T T"
Au 0.3742 -3.5628 6.7889
Pd 2.5437 -0.7550 5.0224
In 0.5330 -2.5441 4.2012
Au 5.0818 -1.9455 6.1944
Au 1.6987 -0.6055 1.9498
In 4.3999 -0.7833 0.5678
Au 4.2406 -1.8014 3.1556
Au 3.7162 1.1867 2.7791
Pd 2.3899 -2.5679 -0.2647
Au 2.3877 -1.7567 7.5665
Au 2.2332 -3.5689 2.2796
Au 3.0774 -3.7260 5.3705
```

=====

Most stable: #a (next structure +58 meV/atom)

=====

#a
Computed, not measured: an optimized crystal structure of In2Pd6Au at the PBE-GGA level of DFT.

Output
**Space-group type**: No. 12
**D(E_F)**: 0.496 states/eV/atom

The structure in extended XYZ format:
```
9
Lattice="-4.6033 0.5738 0.9087 1.5889 -0.0834 -4.1937 -0.9102 -8.3430 0.6581" Properties=species:S:1:pos:R:3 pbc="T T T"
Pd -3.1602 -0.8950 -3.1485
In -2.7781 -1.9053 -0.5751
Pd -0.5189 -0.3001 -2.4394
Pd -3.0987 -4.7387 -0.4095
In -1.1464 -5.9473 -2.0519
Pd -0.7644 -6.9576 0.5216
Pd -0.8259 -3.1139 -2.2175
Au -0.4551 -4.1715 0.3290
Pd -3.4056 -7.5525 -0.1876
```

=====

#b
Computed, not measured: an optimized crystal structure of In2Pd6Au at the PBE-GGA level of DFT.

Output
**Space-group type**: No. 12
**D(E_F)**: 0.515 states/eV/atom

The structure in extended XYZ format:
```
9
Lattice="4.2936 0.6865 0.3973 0.9686 7.3102 0.9910 0.9686 4.5013 5.8446" Properties=species:S:1:pos:R:3 pbc="T T T"
Pd 2.8714 6.6819 5.5347
Au 0.0000 0.0000 0.0000
Pd 2.8714 8.1279 3.0361
Pd 3.8003 3.0064 1.7399
Pd 3.3594 5.8161 1.6982
Pd 3.3594 4.3701 4.1968
In 1.3532 4.0831 2.3630
In 4.8776 8.4150 4.8700
Pd 2.4305 9.4917 5.4931
```

=====

Most stable: #a (next structure +78 meV/atom)

=====

#a
Computed, not measured: an optimized crystal structure of Pm3In4Au2 at the PBE-GGA level of DFT.

Output
**Space-group type**: No. 12
**D(E_F)**: 0.568 states/eV/atom

The structure in extended XYZ format:
```
9
Lattice="-2.3762 -0.7946 -4.1437 -4.5294 -4.1724 0.5682 -7.6331 4.4766 0.6894" Properties=species:S:1:pos:R:3 pbc="T T T"
Au -7.3117 2.4912 -1.9435
Pm -5.6266 -0.1969 -2.3943
In -8.2042 -2.0509 -3.3900
In -11.5221 1.0119 -2.0747
Au -7.2271 -2.9815 -0.9425
Pm -8.9121 -0.2935 -0.4917
In -3.0167 -1.5023 -0.8113
In -6.3345 1.5606 0.5039
Pm 0.0000 0.0000 0.0000
```

=====

#b
Computed, not measured: an optimized crystal structure of Pm3In4Au2 at the PBE-GGA level of DFT.

Output
**Space-group type**: No. 189
**D(E_F)**: 0.475 states/eV/atom

The structure in extended XYZ format:
```
9
Lattice="4.1875 0.0000 0.0000 0.0000 7.9636 0.0000 0.0000 -3.9818 6.8967" Properties=species:S:1:pos:R:3 pbc="T T T"
Au 0.0000 0.0000 4.5978
Pm 2.0938 3.2090 0.0000
Pm 2.0938 -1.6045 2.7791
Pm 2.0938 2.3773 4.1175
In 0.0000 -2.9103 5.0408
In 0.0000 5.8206 0.0000
In 2.0938 0.0000 0.0000
Au 0.0000 3.9818 2.2989
In 0.0000 1.0715 1.8558
```

=====

Most stable: #a (next structure +13 meV/atom)

=====

#a
Computed, not measured: an optimized crystal structure of Pm2In5Au3 at the PBE-GGA level of DFT.

Output
**Space-group type**: No. 72
**D(E_F)**: 0.343 states/eV/atom

The structure in extended XYZ format:
```
20
Lattice="-5.7707 -1.4812 2.4725 -0.7435 -9.1984 1.1685 0.4868 -0.4543 9.2782" Properties=species:S:1:pos:R:3 pbc="T T T"
In -0.1029 -2.3558 2.5557
Pm -4.8772 -5.2779 10.6977
Au -5.3448 -8.5460 7.6486
In -0.2885 -0.8663 7.2220
In -3.0392 -8.0374 9.1273
In -4.0407 -7.7678 2.7443
Pm -3.4433 -2.3864 7.3624
In -5.9246 -8.7780 10.3635
Au -4.3281 -1.1109 1.8544
In -4.4564 -5.9372 7.0778
Au -2.1295 -5.4603 8.5873
In -1.9868 -3.3661 10.1749
Pm -2.5842 -8.7474 5.5568
Au -3.8980 -5.6735 4.3319
Pm -1.1503 -5.8559 2.2215
In -5.7390 -10.2676 5.6973
In -1.5711 -5.1966 5.8415
Au -1.4427 -0.3703 0.6181
In -2.9883 -3.0964 3.7920
Au -0.6827 -2.5878 5.2706
```

=====

#b
Computed, not measured: an optimized crystal structure of Pm2In5Au3 at the PBE-GGA level of DFT.

Output
**Space-group type**: No. 36
**D(E_F)**: 0.407 states/eV/atom

The structure in extended XYZ format:
```
20
Lattice="-3.0764 1.2201 -3.2518 -1.2216 -7.2834 -1.5771 -8.3765 -0.9506 10.8781" Properties=species:S:1:pos:R:3 pbc="T T T"
Pm -2.2617 -1.2949 -1.6561
Au -2.1085 -7.1371 -0.6831
In -2.6914 -1.9138 1.8282
Au -11.1171 -3.1629 6.0208
In -6.4398 -3.9185 4.6223
In -6.1658 -2.6269 1.5376
Pm -8.2754 -1.2068 4.0663
In -8.4162 -3.1881 6.7661
In -10.5331 -0.3581 6.5206
Au -7.8639 -4.8006 2.3285
In -4.6255 -6.0158 -1.1911
Pm -4.3232 -5.3546 2.0809
In -6.9363 -6.9369 3.9594
Pm -10.4363 -5.8593 7.6750
In -9.9868 -5.1222 4.2163
Au -7.7902 -0.3757 7.2291
Au -4.3100 -3.2140 -0.4384
In -1.7530 -4.3402 0.0300
Au -4.7304 -1.7352 3.8243
In -5.6497 0.3922 2.1821
```

=====

Most stable: #b (next structure +76 meV/atom)